# Sr2VSN

Sr2VSN after structural relaxation (PBE-GGA, the Alexandria database).

Summary:
D(E_F)	5.0	states/eV per cell
M_tot	4.652	μB/f.u.
formation energy from raw total energies	0.59	eV/atom

```
Sr2VSN
1.0
-0.501 -2.607 5.181
-5.110 -2.263 -1.632
1.787 -3.051 -1.363
Sr S N V
2 1 1 1
direct
0.000 0.500 0.000
0.500 0.000 0.000
0.000 0.000 0.000
0.000 0.000 0.500
0.500 0.500 0.500
```